Crystalline K2MgSn2 at its relaxed geometry, computed with PBE-GGA.

Geometry as POSCAR:
```
K2MgSn2
1.0
6.2700 -2.6436 0.0000
6.2700 2.6436 0.0000
-5.7622 0.0000 10.7643
K Mg Sn
4 2 4
direct
0.0931 0.0931 0.3904
0.3227 0.3227 0.8112
0.6773 0.6773 0.1888
0.9069 0.9069 0.6096
0.3486 0.3486 0.1250
0.6514 0.6514 0.8750
0.0811 0.0811 0.9452
0.3919 0.3919 0.3910
0.6081 0.6081 0.6090
0.9189 0.9189 0.0548
```

Properties
Calculated density, g/cm3: 3.2
Electronic total energy, eV per atom: -2.526
Energy relative to the elements, eV per atom: -0.17
Energy above the lowest structure with this stoichiometry, eV per atom: 0.0000


Crystalline ZnP2NCl at its relaxed geometry, computed with PBE-GGA.

Geometry as POSCAR:
```
ZnP2NCl
1.0
4.6752 0.0000 0.0000
0.0000 4.6752 0.0000
0.0000 0.0000 4.5370
Zn P N Cl
1 2 1 1
direct
0.0000 0.0000 0.0000
0.0000 0.5000 0.0000
0.5000 0.0000 0.0000
0.5000 0.5000 0.5000
0.0000 0.0000 0.5000
```

Properties
Calculated density, g/cm3: 3.0
Electronic total energy, eV per atom: -2.596
Energy above the lowest structure with this stoichiometry, eV per atom: 1.0992


Question: Look up the calculated density of the second one.
Answer: 3.0 g/cm3